No. 1
# Si2NiHg GGA-PBE relaxed
# M_tot ... 0.00 μB per atom
# Uncorrected formation energy ... 0.193 eV per atom
# E ... -48.5 eV for the cell shown
data_Si2NiHg
_chemical_formula_sum 'Si6 Ni3 Hg3'
_cell_length_a 3.1087
_cell_length_b 3.1087
_cell_length_c 22.9177
_cell_angle_alpha 90.00
_cell_angle_beta 90.00
_cell_angle_gamma 120.00
_space_group_name_H-M_alt 'R 3 m'
_space_group_IT_number 160
_space_group_name_Hall 'R 3 -2"'
loop_
_atom_site_label
_atom_site_type_symbol
_atom_site_fract_x
_atom_site_fract_y
_atom_site_fract_z
_atom_site_occupancy
Si1 Si 0.0000 0.0000 0.0000 1
Si2 Si 0.0000 0.0000 0.2544 1
Ni1 Ni 0.0000 0.0000 0.5246 1
Hg1 Hg 0.0000 0.0000 0.7656 1

No. 2
# CaCoOs2 GGA-PBE relaxed
# Energy of formation from the pure elements ... 0.74 eV/atom
# M_tot ... 0.23 μB per atom
# E ... -28.6 eV for the cell shown
data_CaCoOs2
_chemical_formula_sum 'Ca1 Co1 Os2'
_cell_length_a 3.7625
_cell_length_b 3.7625
_cell_length_c 4.4364
_cell_angle_alpha 90.00
_cell_angle_beta 90.00
_cell_angle_gamma 90.00
_space_group_name_H-M_alt 'P 4/m m m'
_space_group_IT_number 123
_space_group_name_Hall '-P 4 2'
loop_
_atom_site_label
_atom_site_type_symbol
_atom_site_fract_x
_atom_site_fract_y
_atom_site_fract_z
_atom_site_occupancy
Ca1 Ca 0.0000 0.0000 0.0000 1
Co1 Co 0.5000 0.5000 0.0000 1
Os1 Os 0.0000 0.5000 0.5000 1

No. 3
# BTeH3 GGA-PBE relaxed
# M_tot ... 0.00 μB per atom
# E ... -12.7 eV for the cell shown
data_BTeH3
_chemical_formula_sum 'B1 Te1 H3'
_cell_length_a 3.9545
_cell_length_b 3.9545
_cell_length_c 3.9545
_cell_angle_alpha 90.00
_cell_angle_beta 90.00
_cell_angle_gamma 90.00
_space_group_name_H-M_alt 'P m -3 m'
_space_group_IT_number 221
_space_group_name_Hall '-P 4 2 3'
loop_
_atom_site_label
_atom_site_type_symbol
_atom_site_fract_x
_atom_site_fract_y
_atom_site_fract_z
_atom_site_occupancy
B1 B 0.0000 0.0000 0.0000 1
Te1 Te 0.5000 0.5000 0.5000 1
H1 H 0.0000 0.5000 0.5000 1

No. 4
# PmSmDyEr2 GGA-PBE relaxed
# Energy of formation from the pure elements ... 0.35 eV/atom
# M_tot ... 0.00 μB per atom
# E ... -85.8 eV for the cell shown
data_PmSmDyEr2
_chemical_formula_sum 'Pm4 Sm4 Dy4 Er8'
_cell_length_a 6.3974
_cell_length_b 16.5626
_cell_length_c 6.3899
_cell_angle_alpha 90.00
_cell_angle_beta 90.00
_cell_angle_gamma 90.00
_space_group_name_H-M_alt 'C m c m'
_space_group_IT_number 63
_space_group_name_Hall '-C 2c 2'
loop_
_atom_site_label
_atom_site_type_symbol
_atom_site_fract_x
_atom_site_fract_y
_atom_site_fract_z
_atom_site_occupancy
Pm1 Pm 0.0000 0.1575 0.2500 1
Sm1 Sm 0.0000 0.3432 0.2500 1
Dy1 Dy 0.0000 0.2351 0.7500 1
Er1 Er 0.2477 0.0000 0.0000 1

No. 5
# TlHg4Pb5 GGA-PBE relaxed
# Energy of formation from the pure elements ... 0.01 eV/atom
# M_tot ... 0.00 μB per atom
# E ... -22.0 eV for the cell shown
data_TlHg4Pb5
_chemical_formula_sum 'Tl1 Hg4 Pb5'
_cell_length_a 3.6887
_cell_length_b 3.6887
_cell_length_c 20.9985
_cell_angle_alpha 90.00
_cell_angle_beta 90.00
_cell_angle_gamma 90.00
_space_group_name_H-M_alt 'P 4/m m m'
_space_group_IT_number 123
_space_group_name_Hall '-P 4 2'
loop_
_atom_site_label
_atom_site_type_symbol
_atom_site_fract_x
_atom_site_fract_y
_atom_site_fract_z
_atom_site_occupancy
Tl1 Tl 0.0000 0.0000 0.0000 1
Hg1 Hg 0.0000 0.0000 0.2081 1
Hg2 Hg 0.0000 0.0000 0.4026 1
Pb1 Pb 0.5000 0.5000 0.1112 1
Pb2 Pb 0.5000 0.5000 0.3044 1
Pb3 Pb 0.5000 0.5000 0.5000 1

No. 6
# TeRu2W GGA-PBE relaxed
# M_tot ... 0.00 μB per atom
# Uncorrected formation energy ... 0.255 eV per atom
# E ... -33.6 eV for the cell shown
data_TeRu2W
_chemical_formula_sum 'Te1 Ru2 W1'
_cell_length_a 3.0298
_cell_length_b 3.0298
_cell_length_c 7.3065
_cell_angle_alpha 90.00
_cell_angle_beta 90.00
_cell_angle_gamma 90.00
_space_group_name_H-M_alt 'P 4/m m m'
_space_group_IT_number 123
_space_group_name_Hall '-P 4 2'
loop_
_atom_site_label
_atom_site_type_symbol
_atom_site_fract_x
_atom_site_fract_y
_atom_site_fract_z
_atom_site_occupancy
Te1 Te 0.0000 0.0000 0.0000 1
Ru1 Ru 0.5000 0.5000 0.2763 1
W1 W 0.0000 0.0000 0.5000 1

Look up the M_tot of the third one.
0.00 μB per atom